A plane-wave DFT calculation with PBE was carried out for ScZnBi2 after structural relaxation.

The structure in extended XYZ format:
```
4
Lattice="-3.514 0.201 2.170 -1.114 -3.156 2.427 2.071 2.025 7.106" Properties=species:S:1:pos:R:3 pbc="T T T"
Sc -1.278 -0.465 5.851
Zn 0.000 0.000 0.000
Bi -0.692 -0.276 2.845
Bi -1.865 -0.654 8.858
```

Theoretical density (g cm⁻³): 8.127
DOS(E_F) (states/eV/cell): 2.10
E_form (eV per formula unit): -0.3
DFT total energy (eV/f.u.): -15.69